# CrAsO2F

CrAsO2F at its PBEsol-relaxed geometry (meta-GGA SCAN, Alexandria).

For the mass density, the calculation gives 5.3 g/cm3. The value obtained for the total energy is -61.3 eV/cell. For the total magnetic moment, the calculation gives 2.98 μB/f.u.

The structure belongs to space group P4/mmm (No. 123); the cell edges are 3.8268, 3.8268 and 3.7847 Å and the angles 90.00°, 90.00° and 90.00°. The inequivalent atoms are Cr at (0.0000, 0.0000, 0.0000), As at (0.5000, 0.5000, 0.5000), O at (0.0000, 0.5000, 0.0000) and F at (0.0000, 0.0000, 0.5000).